{
  "formula": "CsPrTl2",
  "functional": "PBE",
  "state": "optimized geometry",
  "ef_ev_per_atom": -0.02,
  "dos_at_fermi_per_ev_cell": 4.122,
  "relative_energy_mev_per_atom": 171,
  "lattice_angstrom": [[2.020, 1.166, 11.135], [-2.020, 1.166, 11.135], [0.000, -2.333, 11.135]],
  "species": ["Cs", "Pr", "Tl", "Tl"],
  "fractional_positions": [[0.000, 0.000, 0.000], [0.500, 0.500, 0.500], [0.239, 0.239, 0.239], [0.761, 0.761, 0.761]]
}